# 1
Density functional theory data (PBE) for an optimized crystal structure of TaBeV2Se.

a = 4.6307 Å, b = 4.5350 Å, c = 4.6307 Å
α = 90.00°, β = 90.00°, γ = 90.00°
With the nearest neighbours (Å) after each atom.
Atoms (fractional coordinates):
1 Se 0.5000 0.5000 0.5000  8 V 3.24, 4 Be 3.27
2 Ta 0.0000 0.0000 0.0000  2 Be 2.27, 4 V 2.32
3 V 0.0000 0.0000 0.5000  2 Ta 2.32
4 V 0.5000 0.0000 0.0000  2 Ta 2.32
5 Be 0.0000 0.5000 0.0000  2 Ta 2.27

Properties
Space group ... P4/mmm
E_form (uncorrected) ... 1.456 eV/atom

# 2
Density functional theory data (PBE) for an optimized crystal structure of CaYPt.

a = 7.6630 Å, b = 8.9334 Å, c = 8.9334 Å
α = 61.96°, β = 64.60°, γ = 64.60°
With the nearest neighbours (Å) after each atom.
Atoms (fractional coordinates):
1 Y 0.4968 0.6284 0.6285  4 Pt 2.89-3.02
2 Pt 0.7530 0.2500 0.7500  6 Y 3.02-3.03, 3 Ca 3.15-3.16
3 Pt 0.7530 0.7500 0.2500  6 Y 3.02-3.03, 3 Ca 3.15-3.16
4 Y 0.7537 0.8715 0.8716  4 Pt 2.89-3.02
5 Ca 0.3416 0.7499 0.2499  5 Pt 3.15-3.26, 2 Y 3.43
6 Pt 0.0870 0.1665 0.1665  3 Y 2.89
7 Y 0.0096 0.5000 0.5000  4 Pt 2.89-3.03
8 Y 0.4968 0.1285 0.1284  4 Pt 2.89-3.02
9 Ca 0.7533 0.4560 0.9560  5 Pt 3.16-3.26, 2 Y 3.42
10 Ca 0.1652 0.5440 0.0440  5 Pt 3.16-3.26, 2 Y 3.42
11 Ca 0.1650 0.0439 0.5439  5 Pt 3.16-3.26, 2 Y 3.42
12 Pt 0.0870 0.6665 0.6665  3 Y 2.89
13 Ca 0.3415 0.2501 0.7501  5 Pt 3.15-3.26, 2 Y 3.43
14 Y 0.7537 0.3716 0.3715  4 Pt 2.89-3.02
15 Pt 0.4200 0.8335 0.8335  3 Y 2.89
16 Pt 0.4200 0.3335 0.3335  3 Y 2.89
17 Ca 0.7529 0.9561 0.4561  5 Pt 3.16-3.26, 2 Y 3.42
18 Y 0.0096 0.0000 0.0000  4 Pt 2.89-3.03

Properties
Space group ... P-62m
Relative energy among the computed polymorphs ... 0.000 eV per formula unit
Energy relative to the elements ... -0.818 eV per atom

# 3
Density functional theory data (PBE) for an optimized crystal structure of Zn2FeSe.

a = 8.6555 Å, b = 8.6555 Å, c = 8.6555 Å
α = 19.65°, β = 19.65°, γ = 19.65°
With the nearest neighbours (Å) after each atom.
Atoms (fractional coordinates):
1 Fe 0.2500 0.2500 0.2500  6 Zn 2.59
2 Zn 0.9931 0.9931 0.9931  3 Fe 2.59, 3 Se 2.86
3 Zn 0.5069 0.5069 0.5069  3 Fe 2.59, 3 Se 2.86
4 Se 0.7500 0.7500 0.7500  6 Zn 2.86, 6 Se 2.95

Properties
Space group ... R-3m
E_form (uncorrected) ... 0.251 eV/atom

# 4
Density functional theory data (PBE) for an optimized crystal structure of AlAg3B.

a = 4.3927 Å, b = 4.3927 Å, c = 4.3927 Å
α = 90.00°, β = 90.00°, γ = 90.00°
With the nearest neighbours (Å) after each atom.
Atoms (fractional coordinates):
1 Ag 0.5000 0.0000 0.0000  2 B 2.20
2 Al 0.5000 0.5000 0.5000  12 Ag 3.11
3 B 0.0000 0.0000 0.0000  6 Ag 2.20
4 Ag 0.0000 0.5000 0.0000  2 B 2.20
5 Ag 0.0000 0.0000 0.5000  2 B 2.20

Properties
Space group ... Pm-3m
Relative energy among the computed polymorphs ... 0.000 eV per formula unit
Energy relative to the elements ... 0.523 eV per atom